Density functional theory data (PBE) for a relaxed CdNi2MoOs crystal.

- Density of states at the Fermi level: 1.144 states/eV per atom
- Formation energy from the elements: 6.93 eV/f.u.
- DFT total energy: -5.5223 eV per atom
- V: 19.28 Å³/atom

Cell: 4.529 4.529 4.700 Å, 90.00 90.00 90.00°
Atoms (fractional coordinates):
Cd: 0.000 0.000 0.000
Ni: 0.000 0.500 0.500
Ni: 0.500 0.000 0.500
Mo: 0.500 0.500 0.500
Os: 0.500 0.500 0.000